Record 1
The following is a GGA-PBE calculation of crystalline Sr2CaPd2 at its relaxed geometry, from Alexandria via LeMat-Bulk.

Cell: 7.322 7.322 7.322 Å, 141.01 141.01 56.32°
Sites, in units of the cell vectors:
Sr1 0.250 0.750 0.500
Sr2 0.750 0.250 0.500
Ca1 0.000 0.000 0.000
Pd1 0.398 0.398 0.000
Pd2 0.602 0.602 0.000

Results
ΔE_f = -0.288 eV per atom
Excess energy over the best structure of this formula in the dataset = 0.255 eV/atom

---

Record 2
The following is a GGA-PBE calculation of crystalline Sr3CaPd at its relaxed geometry, from Alexandria via LeMat-Bulk.

Cell: 14.408 14.408 14.408 Å, 153.29 153.29 38.13°
Sites, in units of the cell vectors:
Sr1 0.210 0.210 0.000
Sr2 0.365 0.125 0.760
Sr3 0.365 0.605 0.240
Sr4 0.395 0.635 0.760
Sr5 0.790 0.790 0.000
Sr6 0.875 0.635 0.240
Ca1 0.250 0.750 0.500
Ca2 0.500 0.500 0.000
Pd1 0.700 0.200 0.500
Pd2 0.800 0.300 0.500

Results
ΔE_f = 0.605 eV per atom
Excess energy over the best structure of this formula in the dataset = 0.911 eV/atom

---

Record 3
The following is a GGA-PBE calculation of crystalline SrCa3Pd at its relaxed geometry, from Alexandria via LeMat-Bulk.

Cell: 4.635 4.635 24.282 Å, 90.00 90.00 120.00°
Sites, in units of the cell vectors:
Sr1 0.000 0.000 0.000
Sr2 0.000 0.000 0.500
Ca1 0.000 0.000 0.250
Ca2 0.000 0.000 0.750
Ca3 0.333 0.667 0.131
Ca4 0.333 0.667 0.369
Ca5 0.667 0.333 0.631
Ca6 0.667 0.333 0.869
Pd1 0.333 0.667 0.250
Pd2 0.667 0.333 0.750

Results
ΔE_f = -0.038 eV per atom
Excess energy over the best structure of this formula in the dataset = 0.278 eV/atom

---

Record 4
The following is a GGA-PBE calculation of crystalline Sr2CaPd at its relaxed geometry, from Alexandria via LeMat-Bulk.

Cell: 11.663 11.663 11.663 Å, 20.56 20.56 20.56°
Sites, in units of the cell vectors:
Sr1 0.114 0.114 0.114
Sr2 0.886 0.886 0.886
Ca1 0.000 0.000 0.000
Pd1 0.500 0.500 0.500

Results
ΔE_f = -0.169 eV per atom
Excess energy over the best structure of this formula in the dataset = 0.219 eV/atom

---

Record 5
The following is a GGA-PBE calculation of crystalline SrCa3Pd at its relaxed geometry, from Alexandria via LeMat-Bulk.

Cell: 5.752 5.752 5.752 Å, 90.00 90.00 90.00°
Sites, in units of the cell vectors:
Sr1 0.000 0.000 0.000
Ca1 0.000 0.500 0.500
Ca2 0.500 0.000 0.500
Ca3 0.500 0.500 0.000
Pd1 0.500 0.500 0.500

Results
ΔE_f = -0.316 eV per atom
Excess energy over the best structure of this formula in the dataset = 0.000 eV/atom

---

Record 6
The following is a GGA-PBE calculation of crystalline SrCa3Pd at its relaxed geometry, from Alexandria via LeMat-Bulk.

Cell: 6.873 7.767 7.777 Å, 70.97 74.92 75.11°
Sites, in units of the cell vectors:
Sr1 0.000 0.000 0.000
Sr2 0.474 0.708 0.705
Ca1 0.000 0.065 0.481
Ca2 0.002 0.481 0.068
Ca3 0.031 0.541 0.547
Ca4 0.501 0.262 0.266
Ca5 0.512 0.768 0.187
Ca6 0.513 0.187 0.772
Pd1 0.710 0.432 0.434
Pd2 0.815 0.812 0.815

Results
ΔE_f = -0.309 eV per atom
Excess energy over the best structure of this formula in the dataset = 0.007 eV/atom

---

Record 7
The following is a GGA-PBE calculation of crystalline SrCa3Pd at its relaxed geometry, from Alexandria via LeMat-Bulk.

Cell: 6.882 12.827 8.196 Å, 90.00 90.00 90.00°
Sites, in units of the cell vectors:
Sr1 0.000 0.000 0.000
Sr2 0.000 0.500 0.000
Sr3 0.500 0.000 0.500
Sr4 0.500 0.500 0.500
Ca1 0.028 0.124 0.380
Ca2 0.028 0.376 0.380
Ca3 0.212 0.250 0.773
Ca4 0.288 0.750 0.273
Ca5 0.472 0.624 0.880
Ca6 0.472 0.876 0.880
Ca7 0.528 0.124 0.120
Ca8 0.528 0.376 0.120
Ca9 0.712 0.250 0.727
Ca10 0.788 0.750 0.227
Ca11 0.972 0.624 0.620
Ca12 0.972 0.876 0.620
Pd1 0.098 0.750 0.935
Pd2 0.402 0.250 0.435
Pd3 0.598 0.750 0.565
Pd4 0.902 0.250 0.065

Results
ΔE_f = -0.179 eV per atom
Excess energy over the best structure of this formula in the dataset = 0.137 eV/atom

---

Record 8
The following is a GGA-PBE calculation of crystalline SrCa3Pd at its relaxed geometry, from Alexandria via LeMat-Bulk.

Cell: 9.944 9.944 7.632 Å, 95.92 95.92 95.95°
Sites, in units of the cell vectors:
Sr1 0.081 0.681 0.890
Sr2 0.319 0.919 0.610
Sr3 0.681 0.081 0.390
Sr4 0.919 0.319 0.110
Ca1 0.058 0.202 0.659
Ca2 0.184 0.542 0.455
Ca3 0.202 0.058 0.159
Ca4 0.329 0.447 0.047
Ca5 0.447 0.329 0.547
Ca6 0.458 0.816 0.045
Ca7 0.542 0.184 0.955
Ca8 0.553 0.671 0.453
Ca9 0.671 0.553 0.953
Ca10 0.798 0.942 0.841
Ca11 0.816 0.458 0.545
Ca12 0.942 0.798 0.341
Pd1 0.231 0.769 0.250
Pd2 0.398 0.602 0.750
Pd3 0.602 0.398 0.250
Pd4 0.769 0.231 0.750

Results
ΔE_f = -0.287 eV per atom
Excess energy over the best structure of this formula in the dataset = 0.029 eV/atom

---

Record 9
The following is a GGA-PBE calculation of crystalline SrCaPd2 at its relaxed geometry, from Alexandria via LeMat-Bulk.

Cell: 3.642 3.642 7.258 Å, 90.00 90.00 90.00°
Sites, in units of the cell vectors:
Sr1 0.000 0.000 0.000
Ca1 0.000 0.000 0.500
Pd1 0.500 0.500 0.277
Pd2 0.500 0.500 0.723

Results
ΔE_f = -0.598 eV per atom
Excess energy over the best structure of this formula in the dataset = 0.027 eV/atom

---

Record 10
The following is a GGA-PBE calculation of crystalline Sr3CaPd at its relaxed geometry, from Alexandria via LeMat-Bulk.

Cell: 7.858 7.858 7.858 Å, 64.00 64.00 64.00°
Sites, in units of the cell vectors:
Sr1 0.013 0.493 0.493
Sr2 0.493 0.013 0.493
Sr3 0.493 0.493 0.013
Ca1 0.505 0.505 0.505
Pd1 0.239 0.239 0.239

Results
ΔE_f = 0.505 eV per atom
Excess energy over the best structure of this formula in the dataset = 0.811 eV/atom

---

Record 11
The following is a GGA-PBE calculation of crystalline Sr2Ca2Pd3 at its relaxed geometry, from Alexandria via LeMat-Bulk.

Cell: 6.336 6.336 9.054 Å, 125.94 125.94 42.87°
Sites, in units of the cell vectors:
Sr1 0.085 0.085 0.385
Sr2 0.915 0.915 0.615
Ca1 0.324 0.324 0.937
Ca2 0.676 0.676 0.063
Pd1 0.000 0.000 0.000
Pd2 0.350 0.350 0.324
Pd3 0.650 0.650 0.676

Results
ΔE_f = -0.560 eV per atom

---

We obtain V values of 30.83, 60.32, 45.17, 42.81, 38.06, 37.22, 36.17, 37.09, 24.07, 74.67, 27.42 Å³/atom for the records listed above, in that order.